Record 1
# PBE-GGA Na3CdRh2O6, optimized geometry
# ΔE_f (raw): -13.6 eV per formula unit
# Crystal system: monoclinic
# Fermi-level density of states: 0.754 states/eV per atom
# Total magnetic moment: 0.08 μB per atom
data_Na3CdRh2O6
_symmetry_space_group_name_H-M 'C 1 2/m 1'
_symmetry_Int_Tables_number 12
_symmetry_space_group_name_Hall '-C 2y'
_cell_length_a 5.582
_cell_length_b 9.666
_cell_length_c 5.664
_cell_angle_alpha 90.00
_cell_angle_beta 109.49
_cell_angle_gamma 90.00
loop_
_atom_site_label
_atom_site_type_symbol
_atom_site_fract_x
_atom_site_fract_y
_atom_site_fract_z
_atom_site_occupancy
Na1 Na 0.000 0.000 0.000 1
Na2 Na 0.000 0.336 0.000 1
Cd1 Cd 0.000 0.500 0.500 1
Rh1 Rh 0.000 0.167 0.500 1
O1 O 0.205 0.000 0.708 1
O2 O 0.248 0.183 0.295 1


Record 2
# PBE-GGA CeUFe, optimized geometry
# Crystal system: hexagonal
# ΔH_f (0 K): 0.6 eV/f.u.
# Fermi-level density of states: 3.104 states/eV per atom
# Total magnetic moment: 0.92 μB per atom
data_CeUFe
_symmetry_space_group_name_H-M 'P -6 m 2'
_symmetry_Int_Tables_number 187
_symmetry_space_group_name_Hall 'P -6 2'
_cell_length_a 4.1156
_cell_length_b 4.1156
_cell_length_c 4.4170
_cell_angle_alpha 90.00
_cell_angle_beta 90.00
_cell_angle_gamma 120.00
loop_
_atom_site_label
_atom_site_type_symbol
_atom_site_fract_x
_atom_site_fract_y
_atom_site_fract_z
_atom_site_occupancy
Ce1 Ce 0.0000 0.0000 0.0000 1
U1 U 0.6667 0.3333 0.5000 1
Fe1 Fe 0.3333 0.6667 0.5000 1


Record 3
# PBE-GGA NaGaP2, optimized geometry
# Crystal system: tetragonal
# ΔH_f (0 K): -0.1 eV/f.u.
# Fermi-level density of states: 0.004 states/eV per atom
# Total magnetic moment: 0.00 μB per atom
data_NaGaP2
_symmetry_space_group_name_H-M 'I -4 2 d'
_symmetry_Int_Tables_number 122
_symmetry_space_group_name_Hall 'I -4 2bw'
_cell_length_a 7.243
_cell_length_b 7.243
_cell_length_c 5.771
_cell_angle_alpha 90.00
_cell_angle_beta 90.00
_cell_angle_gamma 90.00
loop_
_atom_site_label
_atom_site_type_symbol
_atom_site_fract_x
_atom_site_fract_y
_atom_site_fract_z
_atom_site_occupancy
Na1 Na 0.000 0.000 0.000 1
Ga1 Ga 0.000 0.000 0.500 1
P1 P 0.201 0.250 0.625 1


Record 4
# PBE-GGA SrSnBi2, optimized geometry
# Crystal system: tetragonal
# ΔH_f (0 K): -1.7 eV/f.u.
# Fermi-level density of states: 0.725 states/eV per atom
# Total magnetic moment: 0.00 μB per atom
data_SrSnBi2
_symmetry_space_group_name_H-M 'P 4/m m m'
_symmetry_Int_Tables_number 123
_symmetry_space_group_name_Hall '-P 4 2'
_cell_length_a 5.038
_cell_length_b 5.038
_cell_length_c 4.995
_cell_angle_alpha 90.00
_cell_angle_beta 90.00
_cell_angle_gamma 90.00
loop_
_atom_site_label
_atom_site_type_symbol
_atom_site_fract_x
_atom_site_fract_y
_atom_site_fract_z
_atom_site_occupancy
Sr1 Sr 0.000 0.000 0.000 1
Sn1 Sn 0.500 0.500 0.000 1
Bi1 Bi 0.000 0.500 0.500 1


Record 5
# PBE-GGA Hg2Bi3SbPb6, optimized geometry
# ΔE_f (raw): 0.8 eV per formula unit
# Crystal system: monoclinic
# Fermi-level density of states: 0.464 states/eV per atom
# Total magnetic moment: 0.00 μB per atom
data_Hg2Bi3SbPb6
_symmetry_space_group_name_H-M 'C 1 2/m 1'
_symmetry_Int_Tables_number 12
_symmetry_space_group_name_Hall '-C 2y'
_cell_length_a 7.950
_cell_length_b 14.498
_cell_length_c 7.601
_cell_angle_alpha 90.00
_cell_angle_beta 112.10
_cell_angle_gamma 90.00
loop_
_atom_site_label
_atom_site_type_symbol
_atom_site_fract_x
_atom_site_fract_y
_atom_site_fract_z
_atom_site_occupancy
Hg1 Hg 0.000 0.165 0.000 1
Bi1 Bi 0.000 0.000 0.500 1
Bi2 Bi 0.000 0.328 0.500 1
Sb1 Sb 0.000 0.500 0.000 1
Pb1 Pb 0.229 0.500 0.740 1
Pb2 Pb 0.241 0.340 0.242 1


Record 6
# PBE-GGA Er2AuC, optimized geometry
# Crystal system: trigonal
# ΔH_f (0 K): -2.2 eV/f.u.
# Fermi-level density of states: 0.766 states/eV per atom
# Total magnetic moment: 0.01 μB per atom
data_Er2AuC
_symmetry_space_group_name_H-M 'R -3 m'
_symmetry_Int_Tables_number 166
_symmetry_space_group_name_Hall '-R 3 2"'
_cell_length_a 3.6530
_cell_length_b 3.6530
_cell_length_c 20.8854
_cell_angle_alpha 90.00
_cell_angle_beta 90.00
_cell_angle_gamma 120.00
loop_
_atom_site_label
_atom_site_type_symbol
_atom_site_fract_x
_atom_site_fract_y
_atom_site_fract_z
_atom_site_occupancy
Er1 Er 0.0000 0.0000 0.2295 1
Au1 Au 0.0000 0.0000 0.0000 1
C1 C 0.0000 0.0000 0.5000 1